No. 1
DFT (PBE-GGA) results for a relaxed structure of RbSi2F8.

Lattice parameters (Å, degrees): 12.411 5.623 6.736 90.00 111.48 90.00
Space group C2/m (No. 12)
Symmetry-distinct sites (fractional):
Rb: 0.000 0.000 0.000
Si: 0.212 0.000 0.694
F: 0.149 0.500 0.187
F: 0.157 0.226 0.771
F: 0.171 0.000 0.436

Computed properties:
E_form (uncorrected): -2838 meV per atom
DOS at the Fermi energy: 0.19 states/eV/atom
V: 437 Å³ per cell

No. 2
DFT (PBE-GGA) results for a relaxed structure of RbSiF3.

Lattice parameters (Å, degrees): 4.919 4.919 4.919 90.00 90.00 90.00
Space group Pm-3m (No. 221)
Symmetry-distinct sites (fractional):
Rb: 0.000 0.000 0.000
Si: 0.500 0.500 0.500
F: 0.000 0.000 0.500

Computed properties:
E_form (uncorrected): -757 meV per atom
DOS at the Fermi energy: 0.42 states/eV/atom
V: 119 Å³ per cell

No. 3
DFT (PBE-GGA) results for a relaxed structure of RbSiF3.

Lattice parameters (Å, degrees): 4.385 4.385 4.385 90.00 90.00 90.00
Space group Pm-3m (No. 221)
Symmetry-distinct sites (fractional):
Rb: 0.000 0.000 0.000
Si: 0.500 0.500 0.500
F: 0.000 0.500 0.500

Computed properties:
E_form (uncorrected): -2207 meV per atom
DOS at the Fermi energy: 0.00 states/eV/atom
V: 84 Å³ per cell

No. 4
DFT (PBE-GGA) results for a relaxed structure of Rb2SrSiF6.

Lattice parameters (Å, degrees): 9.167 9.167 9.167 90.00 90.00 90.00
Space group Fm-3m (No. 225)
Symmetry-distinct sites (fractional):
Rb: 0.250 0.250 0.250
Sr: 0.000 0.000 0.000
Si: 0.000 0.000 0.500
F: 0.000 0.000 0.261

Computed properties:
E_form (uncorrected): -2790 meV per atom
DOS at the Fermi energy: 0.00 states/eV/atom
V: 770 Å³ per cell

No. 5
DFT (PBE-GGA) results for a relaxed structure of Rb2TaSiF6.

Lattice parameters (Å, degrees): 6.107 6.107 11.499 90.00 90.00 90.00
Space group I4/mmm (No. 139)
Symmetry-distinct sites (fractional):
Rb: 0.000 0.500 0.250
Ta: 0.000 0.000 0.000
Si: 0.000 0.000 0.500
F: 0.000 0.000 0.172
F: 0.235 0.235 0.000

Computed properties:
E_form (uncorrected): -2222 meV per atom
DOS at the Fermi energy: 0.00 states/eV/atom
V: 429 Å³ per cell

No. 6
DFT (PBE-GGA) results for a relaxed structure of RbSi2TcF.

Lattice parameters (Å, degrees): 5.083 5.083 4.193 90.00 90.00 90.00
Space group P4/mmm (No. 123)
Symmetry-distinct sites (fractional):
Rb: 0.000 0.000 0.000
Si: 0.000 0.500 0.500
Tc: 0.500 0.500 0.000
F: 0.500 0.500 0.500

Computed properties:
E_form (uncorrected): 843 meV per atom
DOS at the Fermi energy: 0.85 states/eV/atom
V: 108 Å³ per cell

No. 7
DFT (PBE-GGA) results for a relaxed structure of Rb2TiSiF6.

Lattice parameters (Å, degrees): 5.898 5.898 10.710 90.00 90.00 90.00
Space group I4/mmm (No. 139)
Symmetry-distinct sites (fractional):
Rb: 0.000 0.500 0.250
Ti: 0.000 0.000 0.000
Si: 0.000 0.000 0.500
F: 0.000 0.000 0.180
F: 0.245 0.245 0.000

Computed properties:
E_form (uncorrected): -2557 meV per atom
DOS at the Fermi energy: 0.00 states/eV/atom
V: 373 Å³ per cell

No. 8
DFT (PBE-GGA) results for a relaxed structure of Rb2TlSiF8.

Lattice parameters (Å, degrees): 5.7666 5.7666 7.7744 90.00 90.00 120.00
Space group P-3m1 (No. 164)
Symmetry-distinct sites (fractional):
Rb: 0.3333 0.6667 0.3343
Tl: 0.0000 0.0000 0.0000
Si: 0.0000 0.0000 0.5000
F: 0.1398 0.2796 0.6288
F: 0.3333 0.6667 0.9836

Computed properties:
E_form (uncorrected): -2562 meV per atom
DOS at the Fermi energy: 0.77 states/eV/atom
V: 224 Å³ per cell

Final energy / eV per formula unit: -58.00, -15.79, -23.04, -48.17, -52.66, -19.83, -52.05, -55.44